1.
A plane-wave DFT calculation with PBE was carried out for YInC3 after structural relaxation.

```
5
Lattice="4.2820 0.0000 0.0000 0.0000 4.2820 0.0000 0.0000 0.0000 4.2820" Properties=species:S:1:pos:R:3 pbc="T T T"
Y 2.1410 2.1410 2.1410
C 0.0000 2.1410 0.0000
C 0.0000 0.0000 2.1410
C 2.1410 0.0000 0.0000
In 0.0000 0.0000 0.0000
```

Computed properties:
- Space group: Pm-3m (221)
- ΔE_f: 10.4 eV per formula unit
- Calculated total energy: -26.50 eV for the cell shown



2.
A plane-wave DFT calculation with PBE was carried out for YInC2 after structural relaxation.

```
8
Lattice="-4.3162 2.4813 0.0252 -2.4581 -4.2685 -0.7244 -3.7991 -1.6708 5.6277" Properties=species:S:1:pos:R:3 pbc="T T T"
Y -3.3872 -0.8936 -0.3496
Y -4.8222 -3.4165 2.2769
C -4.0675 0.6644 1.3328
C -2.9129 -2.8402 0.9567
C -5.3255 -1.8118 3.9775
C -8.8411 -2.9284 3.5900
In 0.0000 0.0000 0.0000
In -5.7513 -0.0415 2.6516
```

Computed properties:
- Space group: I-42d (122)
- ΔE_f: 4.0 eV per formula unit
- Calculated total energy: -47.34 eV for the cell shown



3.
A plane-wave DFT calculation with PBE was carried out for Y3InC after structural relaxation.

```
5
Lattice="4.9330 0.0000 0.0000 0.0000 4.9330 0.0000 0.0000 0.0000 4.9330" Properties=species:S:1:pos:R:3 pbc="T T T"
Y 0.0000 2.4665 0.0000
Y 0.0000 0.0000 2.4665
Y 2.4665 0.0000 0.0000
C 0.0000 0.0000 0.0000
In 2.4665 2.4665 2.4665
```

Computed properties:
- Space group: Pm-3m (221)
- ΔE_f: -2.7 eV per formula unit
- Calculated total energy: -34.05 eV for the cell shown



4.
A plane-wave DFT calculation with PBE was carried out for YInC after structural relaxation.

```
6
Lattice="5.1004 0.0000 0.0000 0.0000 3.8031 0.0000 -2.5502 -1.9016 6.6748" Properties=species:S:1:pos:R:3 pbc="T T T"
In 2.5502 0.0000 1.8347
In 0.0000 1.9016 4.8401
C 3.2329 1.9016 0.0000
C 1.8675 1.9016 0.0000
Y 0.0000 1.9016 1.7399
Y 2.5502 0.0000 4.9349
```

Computed properties:
- Space group: Immm (71)
- ΔE_f: 0.6 eV per formula unit
- Calculated total energy: -35.66 eV for the cell shown



5.
A plane-wave DFT calculation with PBE was carried out for YInC3 after structural relaxation.

```
5
Lattice="4.5605 0.0000 0.0000 0.0000 4.5605 0.0000 0.0000 0.0000 4.5605" Properties=species:S:1:pos:R:3 pbc="T T T"
Y 0.0000 0.0000 0.0000
C 0.0000 2.2803 0.0000
C 0.0000 0.0000 2.2803
C 2.2803 0.0000 0.0000
In 2.2803 2.2803 2.2803
```

Computed properties:
- Space group: Pm-3m (221)
- ΔE_f: 12.4 eV per formula unit
- Calculated total energy: -24.52 eV for the cell shown



6.
A plane-wave DFT calculation with PBE was carried out for Y6In2C after structural relaxation.

```
9
Lattice="6.0214 0.0025 3.4752 2.0047 5.6779 3.4752 0.0011 0.0008 6.9530" Properties=species:S:1:pos:R:3 pbc="T T T"
Y 2.0469 1.4486 6.9485
Y 3.0310 4.2322 5.2481
Y 4.9962 1.4490 8.6554
Y 4.9992 1.4511 5.2481
Y 3.0280 4.2300 8.6554
Y 5.9803 4.2325 6.9549
In 2.0068 1.4203 3.4745
In 6.0204 4.2609 10.4289
C 4.0136 2.8406 6.9517
```

Computed properties:
- Space group: Fm-3m (225)
- ΔE_f: -3.9 eV per formula unit
- Calculated total energy: -57.39 eV for the cell shown



7.
A plane-wave DFT calculation with PBE was carried out for Y2ZrInC after structural relaxation.

```
5
Lattice="4.8936 0.0000 0.0000 0.0000 4.8936 0.0000 0.0000 0.0000 4.6421" Properties=species:S:1:pos:R:3 pbc="T T T"
Y 0.0000 2.4468 0.0000
Y 2.4468 0.0000 0.0000
C 0.0000 0.0000 0.0000
Zr 0.0000 0.0000 2.3211
In 2.4468 2.4468 2.3211
```

Computed properties:
- Space group: P4/mmm (123)
- ΔE_f: -2.5 eV per formula unit
- Calculated total energy: -35.95 eV for the cell shown



8.
A plane-wave DFT calculation with PBE was carried out for ZnIn3C after structural relaxation.

```
5
Lattice="-2.6675 2.6174 3.0003 0.7737 -3.2019 3.4810 3.9057 2.4219 1.3596" Properties=species:S:1:pos:R:3 pbc="T T T"
Zn 1.0059 0.9187 3.9205
C 0.0000 0.0000 0.0000
In 0.3868 -1.6009 1.7405
In 1.9528 1.2109 0.6798
In -1.3337 1.3087 1.5002
```

Computed properties:
- Space group: Pm-3m (221)
- ΔE_f: 4.2 eV per formula unit
- Calculated total energy: -14.52 eV for the cell shown



> Which of these has the lowest calculated total energy?

Y6In2C